<A>
Computed, not measured: an optimized crystal structure of CrTe2MoI at the PBE level of DFT.

Results
The theoretical density is 5.8 Mg/m³.

The structure in CIF format:
```
data_CrTe2MoI
_cell_length_a 5.2919
_cell_length_b 5.2919
_cell_length_c 5.3960
_cell_angle_alpha 90.00
_cell_angle_beta 90.00
_cell_angle_gamma 90.00
_symmetry_space_group_name_H-M 'P 4/m m m'
_symmetry_Int_Tables_number 123
_symmetry_space_group_name_Hall '-P 4 2'
loop_
_atom_site_label
_atom_site_fract_x
_atom_site_fract_y
_atom_site_fract_z
_atom_site_occupancy
Cr1 0.0000 0.0000 0.0000 1
Te1 0.0000 0.5000 0.0000 1
Mo1 0.5000 0.5000 0.5000 1
I1 0.0000 0.0000 0.5000 1
```

---

<B>
Computed, not measured: an optimized crystal structure of CrTe2MoI at the PBE level of DFT.

Results
The theoretical density is 5.5 Mg/m³.

The structure in CIF format:
```
data_CrTe2MoI
_cell_length_a 5.3039
_cell_length_b 5.3039
_cell_length_c 5.7212
_cell_angle_alpha 90.00
_cell_angle_beta 90.00
_cell_angle_gamma 90.00
_symmetry_space_group_name_H-M 'P 4/m m m'
_symmetry_Int_Tables_number 123
_symmetry_space_group_name_Hall '-P 4 2'
loop_
_atom_site_label
_atom_site_fract_x
_atom_site_fract_y
_atom_site_fract_z
_atom_site_occupancy
Cr1 0.0000 0.0000 0.0000 1
Te1 0.0000 0.5000 0.5000 1
Mo1 0.5000 0.5000 0.5000 1
I1 0.5000 0.5000 0.0000 1
```

---

Stability summary: most stable <B>, least stable <A>.

---

<A>
Computed, not measured: an optimized crystal structure of CrI2N at the PBE level of DFT.

Results
The theoretical density is 5.6 Mg/m³.

The structure in CIF format:
```
data_CrI2N
_cell_length_a 5.8100
_cell_length_b 5.8100
_cell_length_c 11.2665
_cell_angle_alpha 90.00
_cell_angle_beta 90.00
_cell_angle_gamma 90.00
_symmetry_space_group_name_H-M 'I -4 2 d'
_symmetry_Int_Tables_number 122
_symmetry_space_group_name_Hall 'I -4 2bw'
loop_
_atom_site_label
_atom_site_fract_x
_atom_site_fract_y
_atom_site_fract_z
_atom_site_occupancy
Cr1 0.0000 0.0000 0.0000 1
I1 0.2474 0.2500 0.6250 1
N1 0.0000 0.0000 0.5000 1
```

---

<B>
Computed, not measured: an optimized crystal structure of CrI2N at the PBE level of DFT.

Results
The theoretical density is 6.7 Mg/m³.

The structure in CIF format:
```
data_CrI2N
_cell_length_a 6.8104
_cell_length_b 6.8104
_cell_length_c 6.8104
_cell_angle_alpha 90.00
_cell_angle_beta 90.00
_cell_angle_gamma 90.00
_symmetry_space_group_name_H-M 'F m -3 m'
_symmetry_Int_Tables_number 225
_symmetry_space_group_name_Hall '-F 4 2 3'
loop_
_atom_site_label
_atom_site_fract_x
_atom_site_fract_y
_atom_site_fract_z
_atom_site_occupancy
Cr1 0.0000 0.0000 0.0000 1
I1 0.2500 0.2500 0.2500 1
N1 0.0000 0.0000 0.5000 1
```

---

Stability summary: most stable <A>, least stable <B>.

---

<A>
Computed, not measured: an optimized crystal structure of Cr2IN at the PBE level of DFT.

Results
The theoretical density is 7.4 Mg/m³.

The structure in CIF format:
```
data_Cr2IN
_cell_length_a 6.0476
_cell_length_b 6.0476
_cell_length_c 6.0476
_cell_angle_alpha 90.00
_cell_angle_beta 90.00
_cell_angle_gamma 90.00
_symmetry_space_group_name_H-M 'F m -3 m'
_symmetry_Int_Tables_number 225
_symmetry_space_group_name_Hall '-F 4 2 3'
loop_
_atom_site_label
_atom_site_fract_x
_atom_site_fract_y
_atom_site_fract_z
_atom_site_occupancy
Cr1 0.2500 0.2500 0.2500 1
I1 0.0000 0.0000 0.0000 1
N1 0.0000 0.0000 0.5000 1
```

---

<B>
Computed, not measured: an optimized crystal structure of Cr2IN at the PBE level of DFT.

Results
The theoretical density is 5.1 Mg/m³.

The structure in CIF format:
```
data_Cr2IN
_cell_length_a 5.8742
_cell_length_b 5.8742
_cell_length_c 9.2795
_cell_angle_alpha 90.00
_cell_angle_beta 90.00
_cell_angle_gamma 90.00
_symmetry_space_group_name_H-M 'I -4 2 d'
_symmetry_Int_Tables_number 122
_symmetry_space_group_name_Hall 'I -4 2bw'
loop_
_atom_site_label
_atom_site_fract_x
_atom_site_fract_y
_atom_site_fract_z
_atom_site_occupancy
Cr1 0.1080 0.2500 0.1250 1
I1 0.0000 0.0000 0.5000 1
N1 0.0000 0.0000 0.0000 1
```

---

Stability summary: most stable <B>, least stable <A>.

---

<A>
Computed, not measured: an optimized crystal structure of NbCrI2N at the PBE level of DFT.

Results
The theoretical density is 5.2 Mg/m³.

The structure in CIF format:
```
data_NbCrI2N
_cell_length_a 5.7795
_cell_length_b 5.7795
_cell_length_c 3.9380
_cell_angle_alpha 90.00
_cell_angle_beta 90.00
_cell_angle_gamma 90.00
_symmetry_space_group_name_H-M 'P 4/m m m'
_symmetry_Int_Tables_number 123
_symmetry_space_group_name_Hall '-P 4 2'
loop_
_atom_site_label
_atom_site_fract_x
_atom_site_fract_y
_atom_site_fract_z
_atom_site_occupancy
Nb1 0.0000 0.0000 0.0000 1
Cr1 0.5000 0.5000 0.5000 1
I1 0.0000 0.5000 0.0000 1
N1 0.0000 0.0000 0.5000 1
```

---

<B>
Computed, not measured: an optimized crystal structure of NbCrI2N at the PBE level of DFT.

Results
The theoretical density is 6.2 Mg/m³.

The structure in CIF format:
```
data_NbCrI2N
_cell_length_a 5.5640
_cell_length_b 5.5640
_cell_length_c 3.5913
_cell_angle_alpha 90.00
_cell_angle_beta 90.00
_cell_angle_gamma 90.00
_symmetry_space_group_name_H-M 'P 4/m m m'
_symmetry_Int_Tables_number 123
_symmetry_space_group_name_Hall '-P 4 2'
loop_
_atom_site_label
_atom_site_fract_x
_atom_site_fract_y
_atom_site_fract_z
_atom_site_occupancy
Nb1 0.0000 0.0000 0.0000 1
Cr1 0.5000 0.5000 0.5000 1
I1 0.0000 0.5000 0.5000 1
N1 0.5000 0.5000 0.0000 1
```

---

Stability summary: most stable <A>, least stable <B>.